# Na2AlVO4, optimized geometry, DFT PBE with a Hubbard U
# - Final energy: -98.91 eV for the cell shown
data_Na2AlVO4
_chemical_formula_sum 'Na4 Al2 V2 O8'
_cell_length_a 6.005
_cell_length_b 6.005
_cell_length_c 5.345
_cell_angle_alpha 90.00
_cell_angle_beta 90.00
_cell_angle_gamma 90.00
_space_group_name_H-M_alt 'I -4 2 m'
_space_group_IT_number 121
_space_group_name_Hall 'I -4 2'
loop_
_atom_site_label
_atom_site_fract_x
_atom_site_fract_y
_atom_site_fract_z
Na1 0.000 0.500 0.000
Al1 0.000 0.000 0.000
V1 0.000 0.000 0.500
O1 0.156 0.156 0.772